[1]
A plane-wave DFT calculation with GGA-PBE was carried out for a relaxed Pr2Sm4Ho2Mg crystal.

a = 7.1247 Å, b = 8.6096 Å, c = 6.6851 Å
α = 119.90°, β = 120.27°, γ = 79.56°
Closest atoms and distances in Å follow each position.
Atoms (fractional coordinates):
Pr  0.1673  0.8172  0.5144  3 Ho 3.54-3.87, 1 Mg 3.54, 6 Sm 3.57-3.87, 1 Pr 3.61
Pr  0.8327  0.1828  0.4856  3 Ho 3.54-3.87, 1 Mg 3.54, 6 Sm 3.57-3.87, 1 Pr 3.61
Sm  0.6583  0.6489  0.8427  3 Ho 3.40-3.77, 4 Sm 3.48-3.70, 2 Pr 3.57-3.80, 1 Mg 3.62
Sm  0.6251  0.7801  0.4070  1 Mg 3.18, 2 Ho 3.42-3.43, 2 Sm 3.48-3.51
Sm  0.3417  0.3511  0.1573  3 Ho 3.40-3.77, 4 Sm 3.48-3.70, 2 Pr 3.57-3.80, 1 Mg 3.62
Sm  0.3749  0.2199  0.5930  1 Mg 3.18, 2 Ho 3.42-3.43, 2 Sm 3.48-3.51
Ho  0.8620  0.3978  0.1671  1 Mg 3.17, 1 Ho 3.38, 4 Sm 3.40-3.44, 2 Pr 3.54
Ho  0.1380  0.6022  0.8329  1 Mg 3.17, 1 Ho 3.38, 4 Sm 3.40-3.44, 2 Pr 3.54
Mg  0.0000  0.0000  0.0000  2 Ho 3.17, 2 Sm 3.18, 2 Pr 3.54

## Properties
The value obtained for the energy of formation from the pure elements is 0.128 eV per atom. As for the symmetry: P-1 (2). The calculation puts the total energy at -4.226 eV per atom.

---

[2]
A plane-wave DFT calculation with GGA-PBE was carried out for a relaxed PrSmHoMg crystal.

a = 5.5979 Å, b = 5.5979 Å, c = 5.5979 Å
α = 60.00°, β = 60.00°, γ = 60.00°
Closest atoms and distances in Å follow each position.
Atoms (fractional coordinates):
Pr  0.2500  0.2500  0.2500  4 Ho 3.43, 4 Mg 3.43
Mg  0.0000  0.0000  0.0000  4 Pr 3.43, 4 Sm 3.43
Ho  0.5000  0.5000  0.5000  4 Sm 3.43, 4 Pr 3.43
Sm  0.7500  0.7500  0.7500  4 Ho 3.43, 4 Mg 3.43

## Properties
The value obtained for the energy of formation from the pure elements is 0.022 eV per atom. For the energy above the most stable polymorph in this dataset, the calculation gives 52 meV per atom. As for the symmetry: F-43m (216). The calculation puts the total energy at -3.895 eV per atom.

---

[3]
A plane-wave DFT calculation with GGA-PBE was carried out for a relaxed Pr2Sm2Ho2Mg crystal.

a = 3.7117 Å, b = 6.4246 Å, c = 11.7023 Å
α = 118.13°, β = 90.00°, γ = 106.79°
Closest atoms and distances in Å follow each position.
Atoms (fractional coordinates):
Pr  0.5258  0.0517  0.7429  2 Mg 3.28, 3 Sm 3.53-3.65, 3 Ho 3.57-3.58
Pr  0.4742  0.9483  0.2571  2 Mg 3.28, 3 Sm 3.53-3.65, 3 Ho 3.57-3.58
Sm  0.6807  0.3613  0.0889  4 Pr 3.53-3.91, 2 Ho 3.55, 5 Sm 3.71-3.87
Sm  0.3193  0.6387  0.9111  4 Pr 3.53-3.91, 2 Ho 3.55, 5 Sm 3.71-3.87
Ho  0.7428  0.4857  0.6220  2 Mg 3.19, 2 Ho 3.48, 2 Sm 3.55, 2 Pr 3.57
Ho  0.2572  0.5143  0.3780  2 Mg 3.19, 2 Ho 3.48, 2 Sm 3.55, 2 Pr 3.57
Mg  0.0000  0.0000  0.5000  4 Ho 3.19, 4 Pr 3.28

## Properties
The value obtained for the energy of formation from the pure elements is 0.081 eV per atom. As for the symmetry: C2/m (12). The calculation puts the total energy at -4.168 eV per atom.

---

[4]
A plane-wave DFT calculation with GGA-PBE was carried out for a relaxed PrHoMgSn crystal.

a = 5.3823 Å, b = 5.3823 Å, c = 5.3823 Å
α = 60.00°, β = 60.00°, γ = 60.00°
Closest atoms and distances in Å follow each position.
Atoms (fractional coordinates):
Pr  0.5000  0.5000  0.5000  4 Sn 3.30, 4 Mg 3.30
Mg  0.2500  0.2500  0.2500  4 Pr 3.30, 4 Ho 3.30
Ho  0.0000  0.0000  0.0000  4 Sn 3.30, 4 Mg 3.30
Sn  0.7500  0.7500  0.7500  4 Ho 3.30, 4 Pr 3.30

## Properties
The value obtained for the energy of formation from the pure elements is -0.407 eV per atom. As for the symmetry: F-43m (216). The calculation puts the total energy at -4.145 eV per atom.

---

[5]
A plane-wave DFT calculation with GGA-PBE was carried out for a relaxed Tb2Pr3Ho6Mg crystal.

a = 6.1747 Å, b = 6.1747 Å, c = 11.7660 Å
α = 95.05°, β = 95.05°, γ = 120.05°
Closest atoms and distances in Å follow each position.
Atoms (fractional coordinates):
Tb  0.3337  0.6663  0.0000  6 Ho 3.50-3.51, 3 Tb 3.56-3.57, 3 Mg 3.56-3.57
Tb  0.6663  0.3337  0.0000  6 Ho 3.50-3.51, 3 Tb 3.56-3.57, 3 Mg 3.56-3.57
Pr  0.1658  0.8342  0.5000  6 Pr 3.55-3.58, 6 Ho 3.59-3.61
Pr  0.8342  0.1658  0.5000  6 Pr 3.55-3.58, 6 Ho 3.59-3.61
Pr  0.5000  0.5000  0.5000  6 Pr 3.56-3.58, 6 Ho 3.60
Ho  0.9194  0.5871  0.7555  1 Mg 3.49, 2 Tb 3.50-3.51, 6 Ho 3.55-3.57, 3 Pr 3.60-3.61
Ho  0.7484  0.7484  0.2451  2 Tb 3.50, 1 Mg 3.51, 6 Ho 3.55-3.57, 3 Pr 3.59-3.60
Ho  0.0806  0.4129  0.2445  1 Mg 3.49, 2 Tb 3.50-3.51, 6 Ho 3.55-3.57, 3 Pr 3.60-3.61
Ho  0.5871  0.9194  0.7555  1 Mg 3.49, 2 Tb 3.50-3.51, 6 Ho 3.55-3.57, 3 Pr 3.60-3.61
Ho  0.2516  0.2516  0.7549  2 Tb 3.50, 1 Mg 3.51, 6 Ho 3.55-3.57, 3 Pr 3.59-3.60
Ho  0.4129  0.0806  0.2445  1 Mg 3.49, 2 Tb 3.50-3.51, 6 Ho 3.55-3.57, 3 Pr 3.60-3.61
Mg  0.0000  0.0000  0.0000  6 Ho 3.49-3.51, 6 Tb 3.56-3.57

## Properties
The value obtained for the energy of formation from the pure elements is 0.034 eV per atom. As for the symmetry: C2/m (12). The calculation puts the total energy at -4.354 eV per atom.

---

[6]
A plane-wave DFT calculation with GGA-PBE was carried out for a relaxed TbPr4Ho2Mg crystal.

a = 5.8123 Å, b = 5.8178 Å, c = 9.7115 Å
α = 53.20°, β = 90.00°, γ = 90.00°
Closest atoms and distances in Å follow each position.
Atoms (fractional coordinates):
Tb  0.5000  0.5000  0.0000  8 Pr 3.54-3.55, 2 Ho 3.89
Pr  0.0000  0.7606  0.7393  4 Ho 3.45-3.55, 2 Mg 3.45, 2 Tb 3.54, 1 Pr 3.72
Pr  0.0000  0.2394  0.2607  4 Ho 3.45-3.55, 2 Mg 3.45, 2 Tb 3.54, 1 Pr 3.72
Pr  0.5000  0.7381  0.2618  2 Mg 3.45, 4 Ho 3.45-3.55, 2 Tb 3.55, 1 Pr 3.70
Pr  0.5000  0.2619  0.7381  2 Mg 3.45, 4 Ho 3.45-3.55, 2 Tb 3.55, 1 Pr 3.70
Ho  0.0000  0.0000  0.0000  8 Pr 3.55, 2 Mg 3.89
Ho  0.5000  0.0000  0.5000  8 Pr 3.45
Mg  0.0000  0.5000  0.5000  8 Pr 3.45

## Properties
The value obtained for the energy of formation from the pure elements is 0.046 eV per atom. As for the symmetry: P4/mmm (123). The calculation puts the total energy at -4.266 eV per atom.

---

- Which value of energy of formation from the pure elements does entry 3 give?
  0.081 eV per atom

---

- Among the records above, which one has the highest energy of formation from the pure elements?
  Pr2Sm4Ho2Mg